Record 1
LaEuAu2: relaxed, PBE-GGA. Values from VASP.

Cell and atoms, written as Quantum ESPRESSO input:
```
&SYSTEM
  ibrav = 0, nat = 4, ntyp = 3
/
ATOMIC_SPECIES
La 138.91 La.upf
Eu 151.96 Eu.upf
Au 196.97 Au.upf
CELL_PARAMETERS angstrom
-1.7932 5.0018 -0.0098
-2.2613 2.0030 -4.3712
-5.2274 0.9480 -0.0908
ATOMIC_POSITIONS angstrom
La 0.0000 0.0000 0.0000
Eu -4.6410 3.9764 -2.2359
Au -6.9615 5.9646 -3.3538
Au -2.3205 1.9882 -1.1179
```

**Mass density**: 10.72 g cm⁻³
**Calculated formation energy**: -801.9 meV per atom
**E_tot**: -0.229 Ha/atom
**Energy above the lowest structure with this stoichiometry**: 0 meV/atom



Record 2
GaAu2: relaxed, PBE-GGA. Values from VASP.

Cell and atoms, written as Quantum ESPRESSO input:
```
&SYSTEM
  ibrav = 0, nat = 12, ntyp = 2
/
ATOMIC_SPECIES
Ga 69.72 Ga.upf
Au 196.97 Au.upf
CELL_PARAMETERS angstrom
3.9390 0.0000 0.0000
0.0000 9.5846 1.6897
0.0000 1.5611 6.2176
ATOMIC_POSITIONS angstrom
Ga 0.9843 8.1860 3.0584
Ga 0.9852 3.3937 2.2136
Ga 2.9547 2.9597 4.8489
Ga 2.9538 7.7520 5.6938
Au 2.9539 10.0849 7.4292
Au 0.9844 5.8531 1.3230
Au 2.9545 5.2927 6.5843
Au 2.9545 1.6691 2.5699
Au 0.9850 4.6843 4.4926
Au 0.9851 1.0608 0.4781
Au 2.9540 6.4614 3.4147
Au 0.9845 9.4766 5.3375
```

**Mass density**: 13.73 g cm⁻³
**Calculated formation energy**: -145.9 meV per atom
**E_tot**: -0.123 Ha/atom



Record 3
Tm2Zr2Sc: relaxed, PBE-GGA. Values from VASP.

Cell and atoms, written as Quantum ESPRESSO input:
```
&SYSTEM
  ibrav = 0, nat = 10, ntyp = 3
/
ATOMIC_SPECIES
Tm 168.93 Tm.upf
Zr 91.22 Zr.upf
Sc 44.96 Sc.upf
CELL_PARAMETERS angstrom
5.2518 0.0000 -0.9335
0.0000 5.3311 0.0000
-1.0091 0.0000 9.5626
ATOMIC_POSITIONS angstrom
Tm 0.2066 3.9984 1.1622
Tm 1.4077 3.9984 7.9195
Tm 4.0361 1.3328 7.4669
Tm 2.8350 1.3328 0.7096
Zr 3.4387 1.3328 4.1063
Zr 0.8039 3.9984 4.5229
Zr 3.6993 3.9984 5.5722
Zr 0.5434 1.3328 3.0569
Sc 1.0742 1.3328 6.0431
Sc 3.1685 3.9984 2.5860
```

**Mass density**: 7.15 g cm⁻³
**Calculated formation energy**: 82.8 meV per atom
**E_tot**: -0.235 Ha/atom